Entry from Alexandria via LeMat-Bulk: LaZr2Mn2 after structural relaxation (PBE-GGA).

Results
space group = I4/mmm
magnetization = 0.9 μB per formula unit
final energy = -7.630 eV/atom
formation enthalpy at 0 K = 0.4421 eV/atom
energy above the lowest structure with this stoichiometry = 253 meV/atom

abc: 4.3792 4.3792 6.4393
angles: 70.12 70.12 90.00
Last column: magnetic moment on the atom in μB.
Element x y z (fractional)
Mn 0.7500 0.2500 0.5000  1.08
La 0.0000 0.0000 0.0000  -0.16
Mn 0.2500 0.7500 0.5000  1.08
Zr 0.6390 0.6390 0.7219  -0.32
Zr 0.3610 0.3610 0.2781  -0.32

Entry from Alexandria via LeMat-Bulk: LaZr2Mn after structural relaxation (PBE-GGA).

Results
space group = Pmmm
magnetization = 2.4 μB per formula unit
final energy = -7.476 eV/atom
formation enthalpy at 0 K = 0.3220 eV/atom
energy above the lowest structure with this stoichiometry = 233 meV/atom

abc: 3.4905 5.1861 5.1155
angles: 90.00 90.00 90.00
Last column: magnetic moment on the atom in μB.
Element x y z (fractional)
Mn 0.0000 0.5000 0.5000  3.37
Zr 0.0000 0.0000 0.0000  -0.19
La 0.5000 0.0000 0.5000  -0.15
Zr 0.5000 0.5000 0.0000  -0.39

Entry from Alexandria via LeMat-Bulk: LaZrMn after structural relaxation (PBE-GGA).

Results
space group = F-43m
magnetization = 0.4 μB per formula unit
final energy = -7.133 eV/atom
formation enthalpy at 0 K = 0.4156 eV/atom
energy above the lowest structure with this stoichiometry = 181 meV/atom

abc: 4.6786 4.6786 4.6786
angles: 60.00 60.00 60.00
Last column: magnetic moment on the atom in μB.
Element x y z (fractional)
Mn 0.7500 0.7500 0.7500  1.59
Zr 0.0000 0.0000 0.0000  -0.59
La 0.5000 0.5000 0.5000  -0.17

Entry from Alexandria via LeMat-Bulk: LaZr2Mn after structural relaxation (PBE-GGA).

Results
space group = Cm
magnetization = 0.0 μB per formula unit
final energy = -7.576 eV/atom
formation enthalpy at 0 K = 0.2226 eV/atom
energy above the lowest structure with this stoichiometry = 134 meV/atom

abc: 5.8655 5.8655 5.1855
angles: 65.53 65.53 34.01
Element x y z (fractional)
Zr 0.7507 0.7507 0.7723
Mn 0.2611 0.2611 0.1779
La 0.5431 0.5431 0.4763
Zr 0.9451 0.9451 0.0735

Entry from Alexandria via LeMat-Bulk: LaZr2Mn2 after structural relaxation (PBE-GGA).

Results
space group = P4/mbm
magnetization = 4.1 μB per formula unit
final energy = -7.884 eV/atom
formation enthalpy at 0 K = 0.1889 eV/atom
energy above the lowest structure with this stoichiometry = 0 meV/atom

abc: 7.8448 7.8448 3.4986
angles: 90.00 90.00 90.00
Last column: magnetic moment on the atom in μB.
Element x y z (fractional)
La 0.5000 0.5000 0.0000  -0.11
Mn 0.6201 0.1201 0.0000  2.77
Zr 0.3431 0.1569 0.5000  -0.49
Zr 0.6569 0.8431 0.5000  -0.49
Mn 0.8799 0.6201 0.0000  2.77
Zr 0.8431 0.3431 0.5000  -0.50
Zr 0.1569 0.6569 0.5000  -0.50
La 0.0000 0.0000 0.0000  -0.11
Mn 0.1201 0.3799 0.0000  2.77
Mn 0.3799 0.8799 0.0000  2.77

Entry from Alexandria via LeMat-Bulk: LaZr2Mn after structural relaxation (PBE-GGA).

Results
space group = P4mm
magnetization = 2.5 μB per formula unit
final energy = -7.628 eV/atom
formation enthalpy at 0 K = 0.1708 eV/atom
energy above the lowest structure with this stoichiometry = 82 meV/atom

abc: 3.4750 3.4730 8.5593
angles: 66.11 90.00 90.00
Last column: magnetic moment on the atom in μB.
Element x y z (fractional)
Zr 0.5000 0.2911 0.2090  0.09
Zr 0.0000 0.0343 0.9652  -0.38
Mn 0.5000 0.7022 0.7974  2.87
La 0.0000 0.4723 0.5284  -0.09

Entry from Alexandria via LeMat-Bulk: La2ZrMn after structural relaxation (PBE-GGA).

Results
space group = P4mm
magnetization = 2.3 μB per formula unit
final energy = -6.736 eV/atom
formation enthalpy at 0 K = 0.1573 eV/atom
energy above the lowest structure with this stoichiometry = 0 meV/atom

abc: 3.5789 3.5789 8.5060
angles: 90.00 90.00 90.02
Last column: magnetic moment on the atom in μB.
Element x y z (fractional)
La 0.5000 0.5000 0.3073  0.08
La 0.0000 0.0000 0.9610  -0.08
Zr 0.5000 0.5000 0.6825  0.53
Mn 0.0000 0.0000 0.5492  -2.86

Entry from Alexandria via LeMat-Bulk: LaZrMn3 after structural relaxation (PBE-GGA).

Results
space group = Pm-3m
magnetization = 4.9 μB per formula unit
final energy = -6.798 eV/atom
formation enthalpy at 0 K = 1.3984 eV/atom
energy above the lowest structure with this stoichiometry = 625 meV/atom

abc: 4.5845 4.5845 4.5845
angles: 90.00 90.00 90.00
Last column: magnetic moment on the atom in μB.
Element x y z (fractional)
La 0.0000 0.0000 0.0000  -0.21
Mn 0.5000 0.0000 0.0000  1.99
Mn 0.0000 0.0000 0.5000  2.08
Mn 0.0000 0.5000 0.0000  2.19
Zr 0.5000 0.5000 0.5000  -0.70

Entry from Alexandria via LeMat-Bulk: La2ZrMn after structural relaxation (PBE-GGA).

Results
space group = I-4m2
magnetization = 3.6 μB per formula unit
final energy = -6.538 eV/atom
formation enthalpy at 0 K = 0.3547 eV/atom
energy above the lowest structure with this stoichiometry = 197 meV/atom

abc: 5.9044 5.9044 5.9044
angles: 133.49 133.49 67.89
Last column: magnetic moment on the atom in μB.
Element x y z (fractional)
Mn 0.5000 0.5000 0.0000  3.78
La 0.0000 0.0000 0.0000  -0.10
Zr 0.7500 0.2500 0.5000  -0.14
La 0.2500 0.7500 0.5000  -0.03

Entry from Alexandria via LeMat-Bulk: La2Zr2Mn after structural relaxation (PBE-GGA).

Results
space group = P4/mbm
magnetization = 0.5 μB per formula unit
final energy = -6.965 eV/atom
formation enthalpy at 0 K = 0.2595 eV/atom

abc: 6.7404 6.7404 5.6822
angles: 90.00 90.00 90.00
Last column: magnetic moment on the atom in μB.
Element x y z (fractional)
La 0.1685 0.6685 0.5000  -0.04
La 0.8315 0.3315 0.5000  -0.04
La 0.3315 0.1685 0.5000  -0.04
La 0.6685 0.8315 0.5000  -0.04
Mn 0.0000 0.0000 0.0000  1.05
Zr 0.6632 0.1632 0.0000  -0.15
Zr 0.1632 0.3368 0.0000  -0.15
Zr 0.8368 0.6632 0.0000  -0.15
Zr 0.3368 0.8368 0.0000  -0.15
Mn 0.5000 0.5000 0.0000  1.05

Entry from Alexandria via LeMat-Bulk: LaZrMn after structural relaxation (PBE-GGA).

Results
space group = P3m1
magnetization = 2.2 μB per formula unit
final energy = -7.198 eV/atom
formation enthalpy at 0 K = 0.3509 eV/atom
energy above the lowest structure with this stoichiometry = 116 meV/atom

abc: 4.8404 4.8404 3.5742
angles: 90.00 90.00 120.00
Last column: magnetic moment on the atom in μB.
Element x y z (fractional)
Zr 0.6667 0.3333 0.5645  -0.56
La 0.0000 0.0000 0.0149  -0.16
Mn 0.3333 0.6667 0.4207  3.17

Entry from Alexandria via LeMat-Bulk: La2ZrMn after structural relaxation (PBE-GGA).

Results
space group = I4/mmm
magnetization = 3.5 μB per formula unit
final energy = -6.546 eV/atom
formation enthalpy at 0 K = 0.3475 eV/atom
energy above the lowest structure with this stoichiometry = 190 meV/atom

abc: 5.8154 5.8154 5.8154
angles: 131.55 131.55 70.93
Last column: magnetic moment on the atom in μB.
Element x y z (fractional)
La 0.5000 0.5000 0.0000  0.07
La 0.0000 0.0000 0.0000  0.07
Mn 0.2500 0.7500 0.5000  -3.83
Zr 0.7500 0.2500 0.5000  0.25

Question: Which value of final energy does entry 2 give?
Answer: -7.476 eV/atom

Question: Number 8 is which compound?
Answer: LaZrMn3

Copy entry 8 word for word.
Entry from Alexandria via LeMat-Bulk: LaZrMn3 after structural relaxation (PBE-GGA).

Results
space group = Pm-3m
magnetization = 4.9 μB per formula unit
final energy = -6.798 eV/atom
formation enthalpy at 0 K = 1.3984 eV/atom
energy above the lowest structure with this stoichiometry = 625 meV/atom

abc: 4.5845 4.5845 4.5845
angles: 90.00 90.00 90.00
Last column: magnetic moment on the atom in μB.
Element x y z (fractional)
La 0.0000 0.0000 0.0000  -0.21
Mn 0.5000 0.0000 0.0000  1.99
Mn 0.0000 0.0000 0.5000  2.08
Mn 0.0000 0.5000 0.0000  2.19
Zr 0.5000 0.5000 0.5000  -0.70

Question: Number 3 is which compound?
Answer: LaZrMn